No. 1
## ScZn2Pb (PBE)

Data for crystalline ScZn2Pb at its relaxed geometry.

a b c (Å): 4.3818 3.3981 5.7387
angles (deg): 79.50 90.00 90.00
Atoms (fractional coordinates):
Zn: 0.0000 0.1778 0.9918
Zn: 0.5000 0.1101 0.2343
Pb: 0.0000 0.4530 0.4760
Sc: 0.5000 0.7591 0.7979

Results
magnetic moment	0.0	Bohr magnetons per cell
electronic total energy	-3.250	eV/atom
E_form	-0.41	eV per formula unit

***

No. 2
## Zr2ScZnPb (PBE)

Data for crystalline Zr2ScZnPb at its relaxed geometry.

a b c (Å): 5.0444 5.0818 5.0444
angles (deg): 90.00 90.00 90.00
Atoms (fractional coordinates):
Zr: 0.0000 0.0000 0.5000
Zr: 0.5000 0.0000 0.0000
Zn: 0.0000 0.5000 0.0000
Sc: 0.0000 0.0000 0.0000
Pb: 0.5000 0.5000 0.5000

Results
magnetic moment	0.0	Bohr magnetons per cell
electronic total energy	-4.816	eV/atom
E_form	4.33	eV per formula unit

***

No. 3
## ZrSc2ZnPb (PBE)

Data for crystalline ZrSc2ZnPb at its relaxed geometry.

a b c (Å): 5.1651 5.2191 5.1651
angles (deg): 90.00 90.00 90.00
Atoms (fractional coordinates):
Zr: 0.0000 0.0000 0.0000
Sc: 0.5000 0.0000 0.0000
Sc: 0.0000 0.0000 0.5000
Pb: 0.5000 0.5000 0.5000
Zn: 0.0000 0.5000 0.0000

Results
magnetic moment	0.0	Bohr magnetons per cell
electronic total energy	-4.544	eV/atom
E_form	3.48	eV per formula unit

***

No. 4
## ZrSc3Pb (PBE)

Data for crystalline ZrSc3Pb at its relaxed geometry.

a b c (Å): 5.0598 8.3784 5.7942
angles (deg): 106.39 90.00 90.00
Atoms (fractional coordinates):
Sc: 0.2500 0.2773 0.7446
Sc: 0.2500 0.0966 0.1481
Sc: 0.2500 0.4947 0.3365
Sc: 0.7500 0.7227 0.2554
Sc: 0.7500 0.9034 0.8519
Sc: 0.7500 0.5053 0.6635
Pb: 0.7500 0.3108 0.0800
Pb: 0.2500 0.6892 0.9200
Zr: 0.2500 0.8904 0.5098
Zr: 0.7500 0.1096 0.4902

Results
magnetic moment	0.0	Bohr magnetons per cell
energy above the lowest structure with this stoichiometry	0.0000	eV per atom
electronic total energy	-6.457	eV/atom
E_form	-1.03	eV per formula unit

***

No. 5
## ZrSc2Pb (PBE)

Data for crystalline ZrSc2Pb at its relaxed geometry.

a b c (Å): 5.3896 3.2046 5.5821
angles (deg): 84.75 90.00 90.00
Atoms (fractional coordinates):
Zr: 0.0000 0.5442 0.4963
Pb: 0.5000 0.7462 0.7493
Sc: 0.5000 0.2461 0.2536
Sc: 0.0000 0.9634 0.0007

Results
magnetic moment	0.0	Bohr magnetons per cell
electronic total energy	-6.333	eV/atom
E_form	-0.41	eV per formula unit

***

No. 6
## Zr5Sc5Pb6 (PBE)

Data for crystalline Zr5Sc5Pb6 at its relaxed geometry.

a b c (Å): 5.9550 8.5708 8.5708
angles (deg): 119.56 90.00 90.00
Last column: magnetic moment on the atom in μB.
Atoms (fractional coordinates):
Pb: 0.5000 0.6046 0.0002  0.00
Pb: 0.0000 0.0031 0.3938  0.00
Pb: 0.5000 0.3933 0.3933  -0.01
Pb: 0.0000 0.3938 0.0031  0.00
Pb: 0.5000 0.0002 0.6046  0.00
Pb: 0.0000 0.6026 0.6026  0.00
Zr: 0.5000 0.7642 0.7642  0.00
Zr: 0.0000 0.7632 0.9974  0.01
Zr: 0.5000 0.9978 0.2330  0.00
Zr: 0.5000 0.2330 0.9978  0.00
Zr: 0.0000 0.9974 0.7632  0.01
Sc: 0.2510 0.3340 0.6697  0.19
Sc: 0.7490 0.3340 0.6697  0.19
Sc: 0.0000 0.2395 0.2395  0.01
Sc: 0.2510 0.6697 0.3340  0.19
Sc: 0.7490 0.6697 0.3340  0.19

Results
magnetic moment	1.0	Bohr magnetons per cell
electronic total energy	-6.378	eV/atom
E_form	-5.39	eV per formula unit

***

No. 7
## ZrSc2Pb (PBE)

Data for crystalline ZrSc2Pb at its relaxed geometry.

a b c (Å): 3.3653 3.3653 10.2480
angles (deg): 80.55 80.55 60.00
Atoms (fractional coordinates):
Zr: 0.4998 0.4998 0.5006
Sc: 0.2492 0.2492 0.2524
Sc: 0.0843 0.0843 0.7470
Pb: 0.6666 0.6666 0.0001

Results
magnetic moment	0.0	Bohr magnetons per cell
electronic total energy	-6.361	eV/atom
E_form	-0.52	eV per formula unit

***

No. 8
## ZrScPb (PBE)

Data for crystalline ZrScPb at its relaxed geometry.

a b c (Å): 5.2906 7.5631 8.0605
angles (deg): 84.85 65.20 75.37
Atoms (fractional coordinates):
Zr: 0.9165 0.2081 0.4584
Zr: 0.0835 0.7919 0.5416
Zr: 0.0835 0.2919 0.0416
Zr: 0.9165 0.7081 0.9584
Sc: 0.4161 0.4594 0.2094
Sc: 0.5839 0.5406 0.7906
Sc: 0.5839 0.0406 0.2906
Sc: 0.4161 0.9594 0.7094
Pb: 0.7527 0.1225 0.8727
Pb: 0.7527 0.6225 0.3726
Pb: 0.2473 0.8775 0.1273
Pb: 0.2473 0.3775 0.6274

Results
magnetic moment	0.0	Bohr magnetons per cell
energy above the lowest structure with this stoichiometry	0.1322	eV per atom
electronic total energy	-6.421	eV/atom
E_form	-0.67	eV per formula unit

***

No. 9
## ZrSc2Pb (PBE)

Data for crystalline ZrSc2Pb at its relaxed geometry.

a b c (Å): 5.7689 5.7689 5.7689
angles (deg): 135.41 135.41 64.89
Atoms (fractional coordinates):
Sc: 0.2500 0.7500 0.5000
Sc: 0.0000 0.0000 0.0000
Zr: 0.5000 0.5000 0.0000
Pb: 0.7500 0.2500 0.5000

Results
magnetic moment	0.0	Bohr magnetons per cell
electronic total energy	-6.466	eV/atom
E_form	-0.94	eV per formula unit

***

No. 10
## ZrScPb (PBE)

Data for crystalline ZrScPb at its relaxed geometry.

a b c (Å): 5.7832 5.7832 5.7832
angles (deg): 145.59 139.28 54.34
Atoms (fractional coordinates):
Zr: 0.6662 0.6662 0.0000
Pb: 0.9990 0.9990 0.0000
Sc: 0.3348 0.3348 0.0000

Results
magnetic moment	0.0	Bohr magnetons per cell
energy above the lowest structure with this stoichiometry	0.1424	eV per atom
electronic total energy	-6.411	eV/atom
E_form	-0.64	eV per formula unit

***

No. 11
## ZrSc3Pb2 (PBE)

Data for crystalline ZrSc3Pb2 at its relaxed geometry.

a b c (Å): 4.2977 4.2977 7.9738
angles (deg): 90.00 90.00 90.00
Last column: magnetic moment on the atom in μB.
Atoms (fractional coordinates):
Sc: 0.0000 0.5000 0.6684  -0.01
Sc: 0.0000 0.0000 0.0000  0.19
Sc: 0.5000 0.0000 0.3316  -0.01
Pb: 0.5000 0.0000 0.7126  0.00
Pb: 0.0000 0.5000 0.2874  0.00
Zr: 0.5000 0.5000 0.0000  0.27

Results
magnetic moment	0.6	Bohr magnetons per cell
electronic total energy	-6.183	eV/atom
E_form	-2.14	eV per formula unit

***

No. 12
## ZrSc2Pb (PBE)

Data for crystalline ZrSc2Pb at its relaxed geometry.

a b c (Å): 10.2961 10.2961 10.2961
angles (deg): 18.71 18.71 18.71
Atoms (fractional coordinates):
Pb: 0.7500 0.7500 0.7500
Sc: 0.9990 0.9990 0.9990
Sc: 0.5010 0.5010 0.5010
Zr: 0.2500 0.2500 0.2500

Results
magnetic moment	0.0	Bohr magnetons per cell
electronic total energy	-6.362	eV/atom
E_form	-0.53	eV per formula unit